Record 1
Pr4ErZn5: relaxed, PBE. Values from VASP.

Computed properties:
Energy of formation from the pure elements in eV/atom: -0.304
Raw total energy in eV/cell: -33.09
Space group: P4/mmm
Total magnetization in μB/f.u.: 0.0

Quantum ESPRESSO input file:
```
&SYSTEM
  ibrav = 0, nat = 10, ntyp = 3
/
ATOMIC_SPECIES
Pr 140.91 Pr.upf
Er 167.26 Er.upf
Zn 65.41 Zn.upf
CELL_PARAMETERS angstrom
3.669 0.000 0.000
0.000 3.669 0.000
0.000 0.000 18.489
ATOMIC_POSITIONS crystal
Pr 0.000 0.000 0.102
Pr 0.000 0.000 0.306
Pr 0.000 0.000 0.694
Pr 0.000 0.000 0.898
Er 0.000 0.000 0.500
Zn 0.500 0.500 0.000
Zn 0.500 0.500 0.203
Zn 0.500 0.500 0.412
Zn 0.500 0.500 0.588
Zn 0.500 0.500 0.797
```

---

Record 2
CeReP2: relaxed, PBE. Values from VASP.

Computed properties:
Energy of formation from the pure elements in eV/atom: -0.580
Raw total energy in eV/cell: -31.52
Space group: I-4m2
Total magnetization in μB/f.u.: 0.0

Quantum ESPRESSO input file:
```
&SYSTEM
  ibrav = 0, nat = 4, ntyp = 3
/
ATOMIC_SPECIES
Ce 140.12 Ce.upf
Re 186.21 Re.upf
P 30.97 P.upf
CELL_PARAMETERS angstrom
-1.994 1.994 4.936
1.994 -1.994 4.936
1.994 1.994 -4.936
ATOMIC_POSITIONS crystal
Ce 0.000 0.000 0.000
Re 0.250 0.750 0.500
P 0.370 0.370 0.000
P 0.630 0.630 0.000
```

---

Record 3
HoNp4S7: relaxed, PBE. Values from VASP.

Computed properties:
Raw total energy in eV/cell: -102.64
Space group: Cm
Total magnetization in μB/f.u.: 0.0
Raw formation energy in eV/atom: -1.45

Quantum ESPRESSO input file:
```
&SYSTEM
  ibrav = 0, nat = 12, ntyp = 3
/
ATOMIC_SPECIES
Ho 164.93 Ho.upf
Np 237.00 Np.upf
S 32.06 S.upf
CELL_PARAMETERS angstrom
6.524 -1.913 0.000
6.524 1.913 0.000
-2.902 0.000 11.084
ATOMIC_POSITIONS crystal
Ho 0.000 0.000 0.000
Np 0.120 0.120 0.424
Np 0.234 0.234 0.850
Np 0.421 0.421 0.610
Np 0.820 0.820 0.243
S 0.080 0.080 0.641
S 0.160 0.160 0.205
S 0.383 0.383 0.077
S 0.463 0.463 0.373
S 0.614 0.614 0.922
S 0.776 0.776 0.478
S 0.855 0.855 0.774
```

---

Record 4
LaAgNO2: relaxed, PBE. Values from VASP.

Computed properties:
Raw total energy in eV/cell: -26.55
Space group: P4/mmm
Total magnetization in μB/f.u.: 0.0
Raw formation energy in eV/atom: -0.11

Quantum ESPRESSO input file:
```
&SYSTEM
  ibrav = 0, nat = 5, ntyp = 4
/
ATOMIC_SPECIES
La 138.91 La.upf
Ag 107.87 Ag.upf
N 14.01 N.upf
O 16.00 O.upf
CELL_PARAMETERS angstrom
4.465 0.000 0.000
0.000 4.465 0.000
0.000 0.000 4.488
ATOMIC_POSITIONS crystal
La 0.000 0.000 0.000
Ag 0.500 0.500 0.500
N 0.000 0.000 0.500
O 0.000 0.500 0.000
O 0.500 0.000 0.000
```

---

Record 5
Sm2TeH2I: relaxed, PBE. Values from VASP.

Computed properties:
Raw total energy in eV/cell: -26.64
Space group: P-3m1
Total magnetization in μB/f.u.: 0.0

Quantum ESPRESSO input file:
```
&SYSTEM
  ibrav = 0, nat = 6, ntyp = 4
/
ATOMIC_SPECIES
Sm 150.36 Sm.upf
Te 127.60 Te.upf
H 1.01 H.upf
I 126.90 I.upf
CELL_PARAMETERS angstrom
4.021 0.000 0.000
-2.010 3.482 0.000
0.000 0.000 9.338
ATOMIC_POSITIONS crystal
Sm 0.333 0.667 0.225
Sm 0.667 0.333 0.775
Te 0.000 0.000 0.000
H 0.333 0.667 0.750
H 0.667 0.333 0.250
I 0.000 0.000 0.500
```

---

Record 6
Ca3Pr3MgS8: relaxed, PBE. Values from VASP.

Computed properties:
Raw total energy in eV/cell: -84.27
Space group: R-3m
Total magnetization in μB/f.u.: 0.0
Raw formation energy in eV/atom: -1.95

Quantum ESPRESSO input file:
```
&SYSTEM
  ibrav = 0, nat = 15, ntyp = 4
/
ATOMIC_SPECIES
Ca 40.08 Ca.upf
Pr 140.91 Pr.upf
Mg 24.30 Mg.upf
S 32.06 S.upf
CELL_PARAMETERS angstrom
4.042 2.334 6.621
-4.042 2.334 6.621
0.000 -4.668 6.621
ATOMIC_POSITIONS crystal
Ca 0.000 0.500 0.500
Ca 0.500 0.000 0.500
Ca 0.500 0.500 0.000
Pr 0.000 0.000 0.500
Pr 0.000 0.500 0.000
Pr 0.500 0.000 0.000
Mg 0.500 0.500 0.500
S 0.252 0.252 0.252
S 0.265 0.265 0.734
S 0.265 0.734 0.265
S 0.266 0.735 0.735
S 0.734 0.265 0.265
S 0.735 0.266 0.735
S 0.735 0.735 0.266
S 0.748 0.748 0.748
```